An optimized crystal structure of Sm2In3Ni, computed with PBE.

Cell: 3.7457 4.7873 8.2704 Å, 90.00 90.00 90.00°
With the nearest neighbours (Å) after each atom.
Element x y z (fractional)
Sm: 0.0000 0.0000 0.0373  2 Ni 3.00, 4 In 3.26
Sm: 0.0000 0.5000 0.4836  8 In 3.12-3.45, 4 Ni 3.32
In: 0.5000 0.5000 0.1813  2 Ni 2.66, 1 In 2.87
In: 0.5000 0.0000 0.6424  1 Ni 2.66, 2 In 2.87
In: 0.5000 0.5000 0.8341  3 In 2.87
Ni: 0.5000 0.0000 0.3214  3 In 2.66

The value obtained for the calculated density is 7.9 g/cm3. As for the calculated formation energy: -0.4147 eV per atom. For the density of states at the Fermi level, the calculation gives 4.43 states/eV/cell. As for the space group: Pmm2. The calculation puts the magnetic moment at 0.0 μB per formula unit.